# LiFeF4, optimized geometry, DFT PBE with a Hubbard U
data_LiFeF4
_chemical_formula_sum 'Li6 Fe6 F24'
_space_group_name_H-M_alt 'P 31'
_space_group_IT_number 144
_space_group_name_Hall 'P 31'
_cell_length_a 7.8641
_cell_length_b 7.8641
_cell_length_c 7.7799
_cell_angle_alpha 90.00
_cell_angle_beta 90.00
_cell_angle_gamma 120.00
loop_
_atom_site_label
_atom_site_type_symbol
_atom_site_fract_x
_atom_site_fract_y
_atom_site_fract_z
Li1 Li 0.0045 0.3653 0.0000
Li2 Li 0.1948 0.1351 0.3875
Fe1 Fe 0.1355 0.6728 0.3676
Fe2 Fe 0.4170 0.2440 0.0675
F1 F 0.0498 0.3529 0.7374
F2 F 0.0826 0.7177 0.6150
F3 F 0.1548 0.0523 0.1357
F4 F 0.2821 0.7049 0.1514
F5 F 0.2997 0.2185 0.6267
F6 F 0.4045 0.0140 0.9371
F7 F 0.4186 0.3785 0.2731
F8 F 0.5999 0.3840 0.8690
# * total magnetic moment: 5.0 μB/f.u.
# * energy relative to the lowest polymorph listed for this composition: 78 meV per atom
# * uncorrected energy: -5.072 eV per atom